Density functional theory data (SCAN) for a PBEsol-optimized structure of LaGa3Rh.

POSCAR file:
```
LaGa3Rh
1.0
4.7034 0.0000 0.0000
0.0000 4.7034 0.0000
0.0000 0.0000 4.7034
La Ga Rh
1 3 1
Cartesian
0.0000 0.0000 0.0000 La
0.0000 2.3517 2.3517 Ga
2.3517 0.0000 2.3517 Ga
2.3517 2.3517 0.0000 Ga
2.3517 2.3517 2.3517 Rh
```

Output
The magnetization comes out at 0.000 μB per atom. The calculated formation energy is -0.624 eV per atom. As for the space-group type: Pm-3m (221).